A plane-wave DFT calculation with GGA+U was carried out for CaAl4VO8 after structural relaxation.

Computed properties:
Volume ... 149.3 Å³ per cell
E_tot ... -0.2677 hartree per atom
Space group ... No. 160
Magnetic moment ... 3.00 μB/f.u.
Calculated density ... 3.64 Mg/m³

```
CaAl4VO8
1.0
-0.712 4.642 3.512
1.638 -0.298 5.623
4.879 3.090 1.800
Al O V Ca
4 8 1 1
Cartesian
1.292 3.138 5.906
2.111 3.806 2.645
3.240 1.433 3.659
2.452 1.576 0.958
2.057 4.099 7.303
4.314 5.561 8.212
3.237 5.831 5.482
2.422 1.717 5.501
4.553 3.065 6.664
1.685 1.943 2.670
3.636 3.232 3.516
1.216 4.252 4.418
4.842 3.077 1.810
4.632 4.338 4.996
```